Entry from Alexandria via LeMat-Bulk: a relaxed TaFe3O crystal (PBE+U).

Computed properties:
density = 8.243 g cm⁻³
space-group type = Pm-3m (221)
energy above the most stable polymorph in this dataset = 0.0 meV per atom

Structure (POSCAR):
```
TaFe3O
1.0
4.1874 0.0000 0.0000
0.0000 4.1874 0.0000
0.0000 0.0000 4.1874
Ta Fe O
1 3 1
direct
0.5000 0.5000 0.5000 Ta
0.0000 0.0000 0.5000 Fe
0.0000 0.5000 0.0000 Fe
0.5000 0.0000 0.0000 Fe
0.0000 0.0000 0.0000 O
```